# TaGaAsBr2

A relaxed TaGaAsBr2 crystal (PBE, Alexandria).

Results
SG ... P4/mmm, No. 123
Formation energy (no corrections) ... 4.6 eV/f.u.
Relative energy among the computed polymorphs ... 929 meV per atom
Electronic total energy ... -18.23 eV/cell

abc: 4.9692 4.9692 5.0876
angles: 90.00 90.00 90.00
Atoms (fractional coordinates):
Ta  0.0000  0.0000  0.0000
Ga  0.5000  0.5000  0.5000
As  0.5000  0.5000  0.0000
Br  0.0000  0.5000  0.5000
Br  0.5000  0.0000  0.5000